Entry 1:
# GGA-PBE Mn4Ni6Pt7, relaxed
data_Mn4Ni6Pt7
_chemical_formula_sum 'Mn4 Ni6 Pt7'
_space_group_name_H-M_alt 'P 1'
_space_group_IT_number 1
_cell_length_a 6.8643
_cell_length_b 6.8643
_cell_length_c 6.8643
_cell_angle_alpha 109.47
_cell_angle_beta 109.47
_cell_angle_gamma 109.47
loop_
_space_group_symop_operation_xyz
'x,y,z'
loop_
_atom_site_label
_atom_site_type_symbol
_atom_site_fract_x
_atom_site_fract_y
_atom_site_fract_z
Ni1 Ni 0.2990 0.2990 0.0000
Ni2 Ni 0.0000 0.2990 0.2990
Ni3 Ni 0.7010 0.0000 0.7010
Ni4 Ni 0.0000 0.7010 0.7010
Ni5 Ni 0.2990 0.0000 0.2990
Ni6 Ni 0.7010 0.7010 0.0000
Pt1 Pt 0.2500 0.7500 0.5000
Pt2 Pt 0.7500 0.5000 0.2500
Pt3 Pt 0.7500 0.2500 0.5000
Pt4 Pt 0.5000 0.7500 0.2500
Pt5 Pt 0.0000 0.0000 0.0000
Pt6 Pt 0.5000 0.2500 0.7500
Pt7 Pt 0.2500 0.5000 0.7500
Mn1 Mn 0.0000 0.5000 0.0000
Mn2 Mn 0.5000 0.0000 0.0000
Mn3 Mn 0.0000 0.0000 0.5000
Mn4 Mn 0.5000 0.5000 0.5000
# Energy of formation from the pure elements   -0.045 eV/atom
# Space-group type   Im-3m, No. 229



Entry 2:
# GGA-PBE CuSb2TeI, relaxed
data_CuSb2TeI
_chemical_formula_sum 'Cu1 Sb2 Te1 I1'
_space_group_name_H-M_alt 'P 1'
_space_group_IT_number 1
_cell_length_a 5.3269
_cell_length_b 5.3269
_cell_length_c 5.0254
_cell_angle_alpha 90.00
_cell_angle_beta 90.00
_cell_angle_gamma 90.00
loop_
_space_group_symop_operation_xyz
'x,y,z'
loop_
_atom_site_label
_atom_site_type_symbol
_atom_site_fract_x
_atom_site_fract_y
_atom_site_fract_z
Te1 Te 0.0000 0.0000 0.5000
I1 I 0.5000 0.5000 0.5000
Cu1 Cu 0.0000 0.0000 0.0000
Sb1 Sb 0.5000 0.0000 0.0000
Sb2 Sb 0.0000 0.5000 0.0000
# Space-group type   P4/mmm, No. 123
# Relative energy among the computed polymorphs   0.000 eV/atom



Entry 3:
# GGA-PBE CaPrAg4, relaxed
data_CaPrAg4
_chemical_formula_sum 'Ca1 Pr1 Ag4'
_space_group_name_H-M_alt 'P 1'
_space_group_IT_number 1
_cell_length_a 5.9860
_cell_length_b 5.9842
_cell_length_c 4.8277
_cell_angle_alpha 66.00
_cell_angle_beta 66.01
_cell_angle_gamma 86.07
loop_
_space_group_symop_operation_xyz
'x,y,z'
loop_
_atom_site_label
_atom_site_type_symbol
_atom_site_fract_x
_atom_site_fract_y
_atom_site_fract_z
Ag1 Ag 0.8680 0.5339 0.2962
Ag2 Ag 0.6309 0.9574 0.2037
Ag3 Ag 0.4645 0.1304 0.7003
Ag4 Ag 0.0413 0.3679 0.7924
Pr1 Pr 0.4596 0.5391 0.9980
Ca1 Ca 0.0434 0.9550 0.4982
# Energy of formation from the pure elements   -0.272 eV/atom
# Space-group type   C2, No. 5
# Relative energy among the computed polymorphs   0.000 eV/atom